VASP calculation (PBE-GGA) on an optimized crystal structure of RuSO2.

Cell lengths 5.8800, 5.8800, 5.8886 Å; angles 60.05, 60.05, 90.00 degrees
With the nearest neighbours (Å) after each atom.
Sites, in units of the cell vectors:
O: 0.8750 0.0521 0.7500  2 Ru 1.85
O: 0.3750 0.1979 0.7500  2 Ru 1.85
O: 0.8021 0.1250 0.2500  2 Ru 1.85
O: 0.9479 0.6250 0.2500  2 Ru 1.85
S: 0.2500 0.7500 0.5000  4 O 3.09
S: 0.5000 0.5000 0.0000  4 O 3.09
Ru: 0.0000 0.0000 0.0000  4 O 1.85
Ru: 0.7500 0.2500 0.5000  4 O 1.85

## Properties
* formation energy (no corrections): 0.19 eV/atom
* N(E_F): 7.59 states/eV per cell
* calculated density: 3.80 Mg/m³
* relative energy among the computed polymorphs: 1.49 eV/f.u.
* crystal system: tetragonal